The following is a PBE-GGA calculation of a relaxed structure of MgFePd2, from Alexandria via LeMat-Bulk.

The structure in POSCAR format:
```
MgFePd2
1.0
4.522 0.000 0.000
0.000 4.522 0.000
0.000 0.000 2.927
Mg Fe Pd
1 1 2
Direct
0.000 0.000 0.000
0.500 0.500 0.000
0.000 0.500 0.500
0.500 0.000 0.500
```

Results
Fermi-level density of states: 3.64 states/eV/f.u.
total DFT energy (no corrections): -5.434 eV/atom
space-group type: No. 123
energy of formation from the pure elements: -323 meV per atom